Record 1
DFT (GGA-PBE) results for RbH3 after structural relaxation.

Lattice parameters (Å, degrees): 4.0975 4.0975 4.0975 90.00 90.00 90.00
Closest atoms and distances in Å follow each position.
Fractional positions:
Rb  0.0000  0.0000  0.0000  12 H 2.90
H  0.0000  0.5000  0.5000  8 H 2.90, 4 Rb 2.90
H  0.5000  0.0000  0.5000  8 H 2.90, 4 Rb 2.90
H  0.5000  0.5000  0.0000  8 H 2.90, 4 Rb 2.90

## Properties
For the calculated total energy, the calculation gives -1.7596 eV/atom. As for the density of states at the Fermi level: 0.70 states/eV per cell. The symmetry is Pm-3m. The value obtained for the density is 2.1 g cm⁻³.


Record 2
DFT (GGA-PBE) results for CsTlSbSe3 after structural relaxation.

Lattice parameters (Å, degrees): 9.5311 4.4239 11.0457 90.00 107.43 90.00
Closest atoms and distances in Å follow each position.
Fractional positions:
Cs  0.2178  0.2500  0.2504  7 Se 3.69-3.98
Cs  0.7822  0.7500  0.7496  7 Se 3.69-3.98
Tl  0.0893  0.2500  0.6237  4 Se 2.87-3.09
Tl  0.9107  0.7500  0.3763  4 Se 2.87-3.09
Sb  0.3352  0.7500  0.8868  3 Se 2.64-2.92
Sb  0.6648  0.2500  0.1132  3 Se 2.64-2.92
Se  0.1401  0.2500  0.8982  2 Sb 2.92, 1 Tl 2.92
Se  0.2338  0.7500  0.5466  3 Tl 2.87-3.09
Se  0.4604  0.7500  0.1349  1 Sb 2.64
Se  0.5396  0.2500  0.8651  1 Sb 2.64
Se  0.7662  0.2500  0.4534  3 Tl 2.87-3.09
Se  0.8599  0.7500  0.1018  2 Sb 2.92, 1 Tl 2.92

## Properties
Its uncorrected formation energy is -0.4869 eV per atom. As for the density of states at the Fermi level: 8.20 states/eV per cell. The symmetry is P2_1/m. The value obtained for the density is 5.2 g cm⁻³.


Record 3
DFT (GGA-PBE) results for ZrBeAsBr2 after structural relaxation.

Lattice parameters (Å, degrees): 5.2853 5.2853 5.3647 90.00 90.00 90.00
Closest atoms and distances in Å follow each position.
Fractional positions:
Zr  0.0000  0.0000  0.0000  4 Br 2.64, 2 As 2.68
Be  0.5000  0.5000  0.5000  4 As 3.74, 8 Br 3.77
As  0.0000  0.0000  0.5000  2 Zr 2.68
Br  0.0000  0.5000  0.0000  2 Zr 2.64
Br  0.5000  0.0000  0.0000  2 Zr 2.64

## Properties
Its uncorrected formation energy is 0.1539 eV per atom. As for the density of states at the Fermi level: 2.89 states/eV per cell. The symmetry is P4/mmm. The value obtained for the density is 3.7 g cm⁻³.


Record 4
DFT (GGA-PBE) results for PrAlCo2C after structural relaxation.

Lattice parameters (Å, degrees): 5.7324 5.7324 6.8927 90.00 90.00 138.98
Closest atoms and distances in Å follow each position.
Fractional positions:
Pr  0.0581  0.9419  0.7500  4 C 2.72, 1 Al 3.02
Pr  0.9419  0.0581  0.2500  4 C 2.72, 1 Al 3.02
Al  0.2236  0.7764  0.2500  6 Co 2.49
Al  0.7764  0.2236  0.7500  6 Co 2.49
Co  0.3406  0.6594  0.5624  1 C 1.76
Co  0.3406  0.6594  0.9376  1 C 1.76
Co  0.6594  0.3406  0.0624  1 C 1.76
Co  0.6594  0.3406  0.4376  1 C 1.76
C  0.5000  0.5000  0.0000  2 Co 1.76
C  0.5000  0.5000  0.5000  2 Co 1.76

## Properties
As for the energy of formation from the pure elements: -0.288 eV per atom. As for the density of states at the Fermi level: 6.33 states/eV per cell. The symmetry is Cmcm. The value obtained for the density is 6.7 g cm⁻³.